Record 1
## TeRh2Pb (PBE)

Data for a geometry-optimized TeRh2Pb structure.

Calculated values
formation energy (no corrections)	-0.23	eV/atom
E above lowest polymorph	0.0	kJ/mol of atoms
total magnetization	0.0	μB/f.u.

a = 8.0399 Å, b = 6.5243 Å, c = 6.1237 Å
α = 90.00°, β = 90.02°, γ = 90.00°
Closest atoms and distances in Å follow each position.
Space group P2_1/c (No. 14)
Inequivalent atoms, fractional coordinates:
Te 0.1293 0.0810 0.1991 (multiplicity 4)  6 Rh 2.64-2.77
Rh 0.1083 0.6957 0.0113 (multiplicity 4)  4 Te 2.64-2.77, 2 Pb 2.86-2.87
Rh 0.3540 0.1929 0.4936 (multiplicity 4)  2 Te 2.65, 4 Pb 2.71-2.96
Pb 0.3813 0.6072 0.2983 (multiplicity 4)  6 Rh 2.71-2.96

***

Record 2
## Er4HgPt3 (PBE)

Data for a geometry-optimized Er4HgPt3 structure.

Calculated values
formation energy	-1061	meV/atom
total magnetization	0.0	μB/f.u.

a = 4.9776 Å, b = 4.9776 Å, c = 24.3155 Å
α = 90.00°, β = 90.00°, γ = 120.00°
Closest atoms and distances in Å follow each position.
Space group R-3m (No. 166, hexagonal axes)
Inequivalent atoms, fractional coordinates:
Er 0.0000 0.0000 0.1199 (multiplicity 6)  5 Pt 2.92-3.05, 3 Hg 3.09
Er 0.0000 0.0000 0.3705 (multiplicity 6)  7 Pt 3.01-3.13, 1 Hg 3.15
Hg 0.0000 0.0000 0.5000 (multiplicity 3)  8 Er 3.09-3.15, 6 Pt 3.45
Pt 0.0000 0.0000 0.0000 (multiplicity 3)  8 Er 2.92-3.01
Pt 0.0000 0.0000 0.2455 (multiplicity 6)  8 Er 2.98-3.13

***

Record 3
## CuSI2O (PBE)

Data for a geometry-optimized CuSI2O structure.

Calculated values
formation energy (no corrections)	0.40	eV/atom
E above lowest polymorph	0.0	kJ/mol of atoms
total magnetization	0.0	μB/f.u.

a = 5.6381 Å, b = 5.6381 Å, c = 3.5879 Å
α = 90.00°, β = 90.00°, γ = 90.00°
Closest atoms and distances in Å follow each position.
Space group P4/mmm (No. 123)
Inequivalent atoms, fractional coordinates:
Cu 0.0000 0.0000 0.0000 (multiplicity 1)  8 I 3.34, 2 Cu 3.59
S 0.5000 0.5000 0.5000 (multiplicity 1)  2 O 1.79
I 0.0000 0.5000 0.5000 (multiplicity 2)  2 S 2.82
O 0.5000 0.5000 0.0000 (multiplicity 1)  2 S 1.79

***

Record 4
## MnW2Au (PBE)

Data for a geometry-optimized MnW2Au structure.

Calculated values
formation energy	434	meV/atom
E above lowest polymorph	20.4	kJ/mol of atoms
total magnetization	0.0	μB/f.u.

a = 2.7939 Å, b = 2.7939 Å, c = 27.3579 Å
α = 90.00°, β = 90.00°, γ = 120.00°
Closest atoms and distances in Å follow each position.
Space group R-3m (No. 166, hexagonal axes)
Inequivalent atoms, fractional coordinates:
Mn 0.0000 0.0000 0.0000 (multiplicity 3)  6 W 2.63, 6 Mn 2.79
W 0.0000 0.0000 0.2574 (multiplicity 6)  3 Mn 2.63, 6 W 2.79
Au 0.0000 0.0000 0.5000 (multiplicity 3)  6 Au 2.79, 6 W 2.96

***

Record 5
## DyHo3Ag4 (PBE)

Data for a geometry-optimized DyHo3Ag4 structure.

Calculated values
formation energy	-326	meV/atom
total magnetization	0.0	μB/f.u.

a = 3.5971 Å, b = 5.1472 Å, c = 10.2889 Å
α = 90.00°, β = 90.00°, γ = 90.00°
Closest atoms and distances in Å follow each position.
Space group Pmmm (No. 47)
Inequivalent atoms, fractional coordinates:
Dy 0.0000 0.0000 0.0000 (multiplicity 1)  8 Ag 3.14-3.15
Ho 0.0000 0.0000 0.5000 (multiplicity 1)  8 Ag 3.13-3.14
Ho 0.0000 0.5000 0.2503 (multiplicity 2)  8 Ag 3.14
Ag 0.5000 0.0000 0.2511 (multiplicity 2)  6 Ho 3.13-3.14, 2 Dy 3.15
Ag 0.5000 0.5000 0.0000 (multiplicity 1)  4 Dy 3.14, 4 Ho 3.14
Ag 0.5000 0.5000 0.5000 (multiplicity 1)  8 Ho 3.14

***

Record 6
## Si2MoAs (PBE)

Data for a geometry-optimized Si2MoAs structure.

Calculated values
formation energy (no corrections)	-0.01	eV/atom
total magnetization	0.0	μB/f.u.

a = 3.3674 Å, b = 4.0441 Å, c = 4.9215 Å
α = 90.00°, β = 109.91°, γ = 90.00°
Closest atoms and distances in Å follow each position.
Space group Pm (No. 6)
Inequivalent atoms, fractional coordinates:
Si 0.0000 0.0000 0.0000 (multiplicity 1)  3 Mo 2.57-2.68, 4 Si 2.67-2.68
Si 0.4454 0.5000 0.8947 (multiplicity 1)  1 As 2.37, 2 Mo 2.50
Mo 0.2890 0.0000 0.5784 (multiplicity 1)  5 Si 2.50-2.68, 4 As 2.74-2.75
As 0.7027 0.5000 0.4077 (multiplicity 1)  1 Si 2.37